[1]
# HfTh2Ti PBE optimized geometry
# volume	103.2	Å³/cell
# final energy	-31.86	eV for the cell shown
# formation energy from the elements	0.21	eV per atom
# size of the total moment	0.4	Bohr magnetons per cell
# energy above the lowest structure with this stoichiometry	0.0	kJ per mole of atoms
data_HfTh2Ti
_cell_length_a 3.6243
_cell_length_b 3.6243
_cell_length_c 7.8570
_cell_angle_alpha 90.00
_cell_angle_beta 90.00
_cell_angle_gamma 90.00
_space_group_name_H-M_alt 'P 4/m m m'
_space_group_IT_number 123
_space_group_name_Hall '-P 4 2'
loop_
_atom_site_label
_atom_site_type_symbol
_atom_site_fract_x
_atom_site_fract_y
_atom_site_fract_z
_atom_site_occupancy
Hf1 Hf 0.0000 0.0000 0.0000 1
Th1 Th 0.5000 0.5000 0.2634 1
Ti1 Ti 0.0000 0.0000 0.5000 1

[2]
# HfTh2Ti PBE optimized geometry
# volume	417.6	Å³/cell
# final energy	-127.09	eV for the cell shown
# formation energy from the elements	0.23	eV per atom
# size of the total moment	4.8	Bohr magnetons per cell
# energy above the lowest structure with this stoichiometry	2.0	kJ per mole of atoms
data_HfTh2Ti
_cell_length_a 7.4746
_cell_length_b 7.4746
_cell_length_c 7.4746
_cell_angle_alpha 90.00
_cell_angle_beta 90.00
_cell_angle_gamma 90.00
_space_group_name_H-M_alt 'F m -3 m'
_space_group_IT_number 225
_space_group_name_Hall '-F 4 2 3'
loop_
_atom_site_label
_atom_site_type_symbol
_atom_site_fract_x
_atom_site_fract_y
_atom_site_fract_z
_atom_site_occupancy
Hf1 Hf 0.0000 0.0000 0.0000 1
Th1 Th 0.2500 0.2500 0.2500 1
Ti1 Ti 0.0000 0.0000 0.5000 1

[3]
# HfThTi2 PBE optimized geometry
# volume	343.0	Å³/cell
# final energy	-130.66	eV for the cell shown
# formation energy from the elements	0.12	eV per atom
# size of the total moment	0.0	Bohr magnetons per cell
# energy above the lowest structure with this stoichiometry	0.0	kJ per mole of atoms
data_HfThTi2
_cell_length_a 7.0000
_cell_length_b 7.0000
_cell_length_c 7.0000
_cell_angle_alpha 90.00
_cell_angle_beta 90.00
_cell_angle_gamma 90.00
_space_group_name_H-M_alt 'F m -3 m'
_space_group_IT_number 225
_space_group_name_Hall '-F 4 2 3'
loop_
_atom_site_label
_atom_site_type_symbol
_atom_site_fract_x
_atom_site_fract_y
_atom_site_fract_z
_atom_site_occupancy
Hf1 Hf 0.0000 0.0000 0.0000 1
Th1 Th 0.0000 0.0000 0.5000 1
Ti1 Ti 0.2500 0.2500 0.2500 1

[4]
# HfThZrTi PBE optimized geometry
# volume	369.5	Å³/cell
# final energy	-132.78	eV for the cell shown
# formation energy from the elements	0.16	eV per atom
# size of the total moment	0.0	Bohr magnetons per cell
data_HfThZrTi
_cell_length_a 7.1759
_cell_length_b 7.1759
_cell_length_c 7.1759
_cell_angle_alpha 90.00
_cell_angle_beta 90.00
_cell_angle_gamma 90.00
_space_group_name_H-M_alt 'F -4 3 m'
_space_group_IT_number 216
_space_group_name_Hall 'F -4 2 3'
loop_
_atom_site_label
_atom_site_type_symbol
_atom_site_fract_x
_atom_site_fract_y
_atom_site_fract_z
_atom_site_occupancy
Hf1 Hf 0.0000 0.0000 0.0000 1
Th1 Th 0.2500 0.2500 0.2500 1
Zr1 Zr 0.2500 0.2500 0.7500 1
Ti1 Ti 0.0000 0.0000 0.5000 1

[5]
# HfThTl PBE optimized geometry
# volume	160.4	Å³/cell
# final energy	-39.14	eV for the cell shown
# formation energy from the elements	0.06	eV per atom
# size of the total moment	0.0	Bohr magnetons per cell
# energy above the lowest structure with this stoichiometry	0.7	kJ per mole of atoms
data_HfThTl
_cell_length_a 3.3069
_cell_length_b 3.3069
_cell_length_c 14.6666
_cell_angle_alpha 90.00
_cell_angle_beta 90.00
_cell_angle_gamma 90.00
_space_group_name_H-M_alt 'I 4 m m'
_space_group_IT_number 107
_space_group_name_Hall 'I 4 -2'
loop_
_atom_site_label
_atom_site_type_symbol
_atom_site_fract_x
_atom_site_fract_y
_atom_site_fract_z
_atom_site_occupancy
Hf1 Hf 0.0000 0.0000 0.0000 1
Th1 Th 0.0000 0.0000 0.3379 1
Tl1 Tl 0.0000 0.0000 0.6557 1

[6]
# HfThTl PBE optimized geometry
# volume	81.1	Å³/cell
# final energy	-19.17	eV for the cell shown
# formation energy from the elements	0.19	eV per atom
# size of the total moment	0.0	Bohr magnetons per cell
# energy above the lowest structure with this stoichiometry	13.7	kJ per mole of atoms
data_HfThTl
_cell_length_a 5.2837
_cell_length_b 5.2837
_cell_length_c 3.3535
_cell_angle_alpha 90.00
_cell_angle_beta 90.00
_cell_angle_gamma 120.00
_space_group_name_H-M_alt 'P -6 m 2'
_space_group_IT_number 187
_space_group_name_Hall 'P -6 2'
loop_
_atom_site_label
_atom_site_type_symbol
_atom_site_fract_x
_atom_site_fract_y
_atom_site_fract_z
_atom_site_occupancy
Hf1 Hf 0.0000 0.0000 0.0000 1
Th1 Th 0.3333 0.6667 0.5000 1
Tl1 Tl 0.6667 0.3333 0.0000 1